1.
! Sb2Pd3Se2 | the Alexandria database | PBE-GGA | optimized geometry; values from VASP
&SYSTEM
  ibrav = 0, nat = 14, ntyp = 3
/
ATOMIC_SPECIES
Sb 121.76 Sb.upf
Pd 106.42 Pd.upf
Se 78.96 Se.upf
ATOMIC_POSITIONS crystal
Sb 0.132 0.000 0.397
Sb 0.368 0.500 0.603
Sb 0.632 0.500 0.397
Sb 0.868 0.000 0.603
Pd 0.000 0.500 0.500
Pd 0.228 0.500 0.238
Pd 0.272 0.000 0.762
Pd 0.500 0.000 0.500
Pd 0.728 0.000 0.238
Pd 0.772 0.500 0.762
Se 0.154 0.500 0.829
Se 0.346 0.000 0.171
Se 0.654 0.000 0.829
Se 0.846 0.500 0.171
CELL_PARAMETERS angstrom
12.026 0.000 0.000
0.000 4.196 0.000
-1.333 0.000 6.515
! Symmetry: C2/m (12)
! Formation energy without anion corrections (eV per atom): -0.26


2.
! Rb2SmPuO4 | the Alexandria database | PBE-GGA | optimized geometry; values from VASP
&SYSTEM
  ibrav = 0, nat = 8, ntyp = 4
/
ATOMIC_SPECIES
Rb 85.47 Rb.upf
Sm 150.36 Sm.upf
Pu 244.00 Pu.upf
O 16.00 O.upf
ATOMIC_POSITIONS crystal
Rb 0.000 0.000 0.000
Rb 0.500 0.500 0.000
Sm 0.000 0.500 0.500
Pu 0.500 0.000 0.500
O 0.227 0.000 0.679
O 0.278 0.500 0.324
O 0.722 0.500 0.676
O 0.773 0.000 0.321
CELL_PARAMETERS angstrom
6.258 0.000 0.000
0.000 3.611 0.000
-2.089 0.000 6.580
! Symmetry: P2/m (10)
! Formation energy without anion corrections (eV per atom): -2.45


3.
! LaTmMgAg | the Alexandria database | PBE-GGA | optimized geometry; values from VASP
&SYSTEM
  ibrav = 0, nat = 16, ntyp = 4
/
ATOMIC_SPECIES
La 138.91 La.upf
Tm 168.93 Tm.upf
Mg 24.30 Mg.upf
Ag 107.87 Ag.upf
ATOMIC_POSITIONS crystal
La 0.000 0.000 0.000
La 0.000 0.500 0.500
La 0.500 0.000 0.500
La 0.500 0.500 0.000
Tm 0.000 0.000 0.500
Tm 0.000 0.500 0.000
Tm 0.500 0.000 0.000
Tm 0.500 0.500 0.500
Mg 0.250 0.250 0.250
Mg 0.250 0.750 0.750
Mg 0.750 0.250 0.750
Mg 0.750 0.750 0.250
Ag 0.250 0.250 0.750
Ag 0.250 0.750 0.250
Ag 0.750 0.250 0.250
Ag 0.750 0.750 0.750
CELL_PARAMETERS angstrom
7.573 0.000 0.000
0.000 7.573 0.000
0.000 0.000 7.573
! ΔE to the lowest computed polymorph (eV/atom): 0.049
! Symmetry: F-43m (216)
! Calculated formation energy (eV/atom): -0.13